No. 1
Material: MgSbCl4
Method: DFT, PBE
State: optimized geometry

Cell and atoms, written as extended XYZ:
```
6
Lattice="0.0000 4.1724 4.1724 4.1724 0.0000 4.1724 4.1724 4.1724 0.0000" Properties=species:S:1:pos:R:3 pbc="T T T"
Mg 0.0000 0.0000 0.0000
Sb 6.2586 6.2586 6.2586
Cl 3.1234 3.1234 3.1234
Cl 5.2214 5.2214 3.1234
Cl 5.2214 3.1234 5.2214
Cl 3.1234 5.2214 5.2214
```

Output
**Crystal system**: cubic
**Calculated total energy**: -11.32 eV per formula unit
**Raw formation energy**: 0.298 eV/atom

***

No. 2
Material: MgSbCl6
Method: DFT, PBE
State: optimized geometry

Cell and atoms, written as extended XYZ:
```
8
Lattice="3.2222 1.8603 5.7851 -3.2222 1.8603 5.7851 0.0000 -3.7206 5.7851" Properties=species:S:1:pos:R:3 pbc="T T T"
Mg 0.0000 0.0000 0.0000
Sb 0.0000 0.0000 8.6776
Cl -2.0996 0.0772 7.2133
Cl -1.1167 -1.7797 10.1419
Cl 0.9829 -1.8569 7.2133
Cl -0.9829 1.8569 10.1419
Cl 1.1167 1.7797 7.2133
Cl 2.0996 -0.0772 10.1419
```

Output
**Crystal system**: trigonal
**Calculated total energy**: -25.10 eV per formula unit
**Excess energy over the best structure of this formula in the dataset**: 42 meV/atom
**Raw formation energy**: -1.038 eV/atom

***

No. 3
Material: MgSb4Cl
Method: DFT, PBE
State: optimized geometry

Cell and atoms, written as extended XYZ:
```
6
Lattice="0.0000 4.4448 4.4448 4.4448 0.0000 4.4448 4.4448 4.4448 0.0000" Properties=species:S:1:pos:R:3 pbc="T T T"
Mg 0.0000 0.0000 0.0000
Sb 5.4917 3.3978 3.3978
Sb 3.3978 5.4917 3.3978
Sb 3.3978 3.3978 5.4917
Sb 5.4917 5.4917 5.4917
Cl 2.2224 2.2224 2.2224
```

Output
**Crystal system**: cubic
**Calculated total energy**: -19.52 eV per formula unit
**Raw formation energy**: 0.068 eV/atom

***

No. 4
Material: MgSb3Cl
Method: DFT, PBE
State: optimized geometry

Cell and atoms, written as extended XYZ:
```
5
Lattice="5.3357 0.0000 0.0000 0.0000 5.3357 0.0000 0.0000 0.0000 5.3357" Properties=species:S:1:pos:R:3 pbc="T T T"
Mg 0.0000 0.0000 0.0000
Sb 0.0000 2.6679 2.6679
Sb 2.6679 0.0000 2.6679
Sb 2.6679 2.6679 0.0000
Cl 2.6679 2.6679 2.6679
```

Output
**Crystal system**: cubic
**Calculated total energy**: -12.63 eV per formula unit
**Excess energy over the best structure of this formula in the dataset**: 184 meV/atom
**Raw formation energy**: 0.635 eV/atom

***

No. 5
Material: MgSn2SbCl
Method: DFT, PBE
State: optimized geometry

Cell and atoms, written as extended XYZ:
```
5
Lattice="5.3793 0.0000 0.0000 0.0000 5.3793 0.0000 0.0000 0.0000 5.3934" Properties=species:S:1:pos:R:3 pbc="T T T"
Mg 0.0000 0.0000 0.0000
Sn 0.0000 2.6896 2.6967
Sn 2.6896 0.0000 2.6967
Sb 2.6896 2.6896 0.0000
Cl 2.6896 2.6896 2.6967
```

Output
**Crystal system**: tetragonal
**Calculated total energy**: -13.38 eV per formula unit
**Raw formation energy**: 0.438 eV/atom

***

No. 6
Material: MgSbTe2Cl
Method: DFT, PBE
State: optimized geometry

Cell and atoms, written as extended XYZ:
```
5
Lattice="5.5930 0.0000 0.0000 0.0000 5.5930 0.0000 0.0000 0.0000 5.1162" Properties=species:S:1:pos:R:3 pbc="T T T"
Mg 0.0000 0.0000 0.0000
Sb 2.7965 2.7965 0.0000
Te 0.0000 2.7965 2.5581
Te 2.7965 0.0000 2.5581
Cl 2.7965 2.7965 2.5581
```

Output
**Crystal system**: tetragonal
**Calculated total energy**: -11.08 eV per formula unit
**Excess energy over the best structure of this formula in the dataset**: 291 meV/atom
**Raw formation energy**: 0.554 eV/atom

***

No. 7
Material: MgSbTe2Cl
Method: DFT, PBE
State: optimized geometry

Cell and atoms, written as extended XYZ:
```
5
Lattice="5.3334 0.0000 0.0000 0.0000 5.3334 0.0000 0.0000 0.0000 5.5831" Properties=species:S:1:pos:R:3 pbc="T T T"
Mg 0.0000 0.0000 0.0000
Sb 0.0000 0.0000 2.7916
Te 0.0000 2.6667 0.0000
Te 2.6667 0.0000 0.0000
Cl 2.6667 2.6667 2.7916
```

Output
**Crystal system**: tetragonal
**Calculated total energy**: -12.53 eV per formula unit
**Excess energy over the best structure of this formula in the dataset**: 0 meV/atom
**Raw formation energy**: 0.263 eV/atom

***

No. 8
Material: MgTlSbCl6
Method: DFT, PBE
State: optimized geometry

Cell and atoms, written as extended XYZ:
```
9
Lattice="6.8060 0.0000 0.0000 -3.4030 5.8942 0.0000 0.0000 0.0000 7.0983" Properties=species:S:1:pos:R:3 pbc="T T T"
Mg 0.0000 0.0000 0.0000
Tl 3.4030 1.9647 3.5492
Sb 0.0000 3.9294 0.0000
Cl -0.8783 1.8702 1.4772
Cl -2.2225 4.1985 5.6211
Cl 0.8783 1.8702 5.6211
Cl -1.3443 5.7197 1.4772
Cl 2.2225 4.1985 1.4772
Cl 1.3443 5.7197 5.6211
```

Output
**Crystal system**: trigonal
**Calculated total energy**: -30.32 eV per formula unit
**Raw formation energy**: -1.240 eV/atom

***

No. 9
Material: MgVSb2Cl
Method: DFT, PBE
State: optimized geometry

Cell and atoms, written as extended XYZ:
```
5
Lattice="5.5409 0.0000 0.0000 0.0000 5.5409 0.0000 0.0000 0.0000 4.3930" Properties=species:S:1:pos:R:3 pbc="T T T"
Mg 0.0000 0.0000 0.0000
V 2.7705 2.7705 0.0000
Sb 0.0000 2.7705 2.1965
Sb 2.7705 0.0000 2.1965
Cl 2.7705 2.7705 2.1965
```

Output
**Crystal system**: tetragonal
**Calculated total energy**: -17.88 eV per formula unit
**Excess energy over the best structure of this formula in the dataset**: 503 meV/atom
**Raw formation energy**: 0.584 eV/atom

***

No. 10
Material: MgVSb2Cl
Method: DFT, PBE
State: optimized geometry

Cell and atoms, written as extended XYZ:
```
5
Lattice="4.9923 0.0000 0.0000 0.0000 4.9923 0.0000 0.0000 0.0000 5.5656" Properties=species:S:1:pos:R:3 pbc="T T T"
Mg 0.0000 0.0000 0.0000
V 0.0000 0.0000 2.7828
Sb 0.0000 2.4961 2.7828
Sb 2.4961 0.0000 2.7828
Cl 2.4961 2.4961 0.0000
```

Output
**Crystal system**: tetragonal
**Calculated total energy**: -20.39 eV per formula unit
**Excess energy over the best structure of this formula in the dataset**: 0 meV/atom
**Raw formation energy**: 0.082 eV/atom

***

No. 11
Material: MgScCl
Method: DFT, PBE
State: optimized geometry

Cell and atoms, written as extended XYZ:
```
6
Lattice="16.8381 0.0000 0.0000 0.0000 1.6917 2.9389 0.0000 -1.6917 2.9389" Properties=species:S:1:pos:R:3 pbc="T T T"
Mg 0.0000 0.0000 0.0000
Mg 8.4190 0.0000 1.3047
Sc 2.5476 0.0000 1.9553
Sc 14.2905 0.0000 1.9553
Cl 6.8510 0.0000 5.2234
Cl 9.9871 0.0000 5.2234
```

Output
**Crystal system**: orthorhombic
**Calculated total energy**: -11.32 eV per formula unit
**Excess energy over the best structure of this formula in the dataset**: 280 meV/atom
**Raw formation energy**: -0.515 eV/atom

***

No. 12
Material: MgScCl2
Method: DFT, PBE
State: optimized geometry

Cell and atoms, written as extended XYZ:
```
4
Lattice="1.7521 1.0116 9.9115 -1.7521 1.0116 9.9115 0.0000 -2.0232 9.9115" Properties=species:S:1:pos:R:3 pbc="T T T"
Mg 0.0000 0.0000 0.0000
Sc 0.0000 0.0000 14.8673
Cl 0.0000 0.0000 11.3469
Cl 0.0000 0.0000 18.3877
```

Output
**Crystal system**: trigonal
**Calculated total energy**: -15.41 eV per formula unit
**Excess energy over the best structure of this formula in the dataset**: 285 meV/atom
**Raw formation energy**: -0.948 eV/atom

***

- The highest raw formation energy belongs to which entry?
  MgSb3Cl